Here is an optimized crystal structure of Mn2GeH from Alexandria via LeMat-Bulk. Energies are from PBE.

Output
D(E_F) ... 1.757 states/eV/f.u.
Total energy ... -6.221 eV/atom
Excess energy over the best structure of this formula in the dataset ... 416 meV per atom
V ... 182.5 Å³/cell

```
data_Mn2GeH
_symmetry_space_group_name_H-M 'F m -3 m'
_symmetry_Int_Tables_number 225
_symmetry_space_group_name_Hall '-F 4 2 3'
_cell_length_a 5.672
_cell_length_b 5.672
_cell_length_c 5.672
_cell_angle_alpha 90.00
_cell_angle_beta 90.00
_cell_angle_gamma 90.00
loop_
_atom_site_label
_atom_site_fract_x
_atom_site_fract_y
_atom_site_fract_z
_atom_site_occupancy
Mn1 0.250 0.250 0.250 1
Ge1 0.000 0.000 0.000 1
H1 0.000 0.000 0.500 1
```

=====

Here is an optimized crystal structure of Mn3GeH from Alexandria via LeMat-Bulk. Energies are from PBE.

Output
D(E_F) ... 2.296 states/eV/f.u.
Total energy ... -7.177 eV/atom
Excess energy over the best structure of this formula in the dataset ... 53 meV per atom
V ... 100.2 Å³/cell

```
data_Mn3GeH
_symmetry_space_group_name_H-M 'P 63/m m c'
_symmetry_Int_Tables_number 194
_symmetry_space_group_name_Hall '-P 6c 2c'
_cell_length_a 5.2126
_cell_length_b 5.2126
_cell_length_c 4.2599
_cell_angle_alpha 90.00
_cell_angle_beta 90.00
_cell_angle_gamma 120.00
loop_
_atom_site_label
_atom_site_fract_x
_atom_site_fract_y
_atom_site_fract_z
_atom_site_occupancy
Mn1 0.1663 0.3327 0.2500 1
Ge1 0.3333 0.6667 0.7500 1
H1 0.0000 0.0000 0.0000 1
```